Entry 1:
Computed, not measured: CoSb at its PBEsol-relaxed geometry at the SCAN level of DFT.

Cell: 3.1357 4.4376 4.4376 Å, 90.00 90.00 90.00°
With the nearest neighbours (Å) after each atom.
Fractional positions:
Co1 0.5000 0.5000 0.0000  8 Sb 2.72
Co2 0.5000 0.0000 0.5000  8 Sb 2.72
Sb1 0.0000 0.5000 0.5000  8 Co 2.72
Sb2 0.0000 0.0000 0.0000  8 Co 2.72

Its space-group type is Pm-3m. Its theoretical density is 9.7 g/cm³. The total energy comes out at -26.76 eV per atom.



Entry 2:
Computed, not measured: ScCo2Sb at its PBEsol-relaxed geometry at the SCAN level of DFT.

Cell: 3.2042 3.2042 5.7657 Å, 90.00 90.00 90.00°
With the nearest neighbours (Å) after each atom.
Fractional positions:
Co1 0.0000 0.0000 0.7620  4 Sb 2.65, 4 Sc 2.72, 1 Co 2.74
Co2 0.0000 0.0000 0.2380  4 Sb 2.65, 4 Sc 2.72, 1 Co 2.74
Sb1 0.5000 0.5000 0.0000  8 Co 2.65, 2 Sc 2.88
Sc1 0.5000 0.5000 0.5000  8 Co 2.72, 2 Sb 2.88

Its space-group type is P4/mmm. Its theoretical density is 8.0 g/cm³. The total energy comes out at -21.67 eV per atom.



Entry 3:
Computed, not measured: ScCo2Sb2 at its PBEsol-relaxed geometry at the SCAN level of DFT.

Cell: 4.0594 4.0594 6.1333 Å, 109.33 109.33 90.00°
With the nearest neighbours (Å) after each atom.
Fractional positions:
Sc1 0.0000 0.0000 0.0000  8 Sb 3.19, 8 Co 3.39
Sb1 0.3718 0.3718 0.7436  4 Co 2.42
Sb2 0.6282 0.6282 0.2564  4 Co 2.42
Co1 0.2500 0.7500 0.5000  4 Sb 2.42
Co2 0.7500 0.2500 0.5000  4 Sb 2.42

Its space-group type is I4/mmm. Its theoretical density is 7.6 g/cm³. The total energy comes out at -24.87 eV per atom.



Entry 4:
Computed, not measured: Sc2CoSb at its PBEsol-relaxed geometry at the SCAN level of DFT.

Cell: 4.6892 4.6892 4.6892 Å, 60.00 60.00 60.00°
With the nearest neighbours (Å) after each atom.
Fractional positions:
Co1 0.0000 0.0000 0.0000  8 Sc 2.87
Sb1 0.5000 0.5000 0.5000  8 Sc 2.87
Sc1 0.7500 0.7500 0.7500  4 Sb 2.87, 4 Co 2.87
Sc2 0.2500 0.2500 0.2500  4 Sb 2.87, 4 Co 2.87

Its space-group type is Fm-3m. Its theoretical density is 6.2 g/cm³. The total energy comes out at -21.26 eV per atom.